[1]
# Ni2Ir3, relaxed, DFT PBE-GGA
# calculated volume = 13.8 A^3/atom
# offset from the most stable computed form = 0.87 eV/f.u.
# calculated formation energy = 0.29 eV/atom
# density of states at the Fermi level = 14.1 states/eV/cell
# SG = No. 5
# crystal system = monoclinic
data_Ni2Ir3
_chemical_formula_sum 'Ni4 Ir6'
_cell_length_a 5.6626
_cell_length_b 5.6626
_cell_length_c 4.8103
_cell_angle_alpha 104.99
_cell_angle_beta 104.99
_cell_angle_gamma 100.76
_space_group_name_H-M_alt 'P 1'
_space_group_IT_number 1
loop_
_space_group_symop_operation_xyz
'x,y,z'
loop_
_atom_site_label
_atom_site_type_symbol
_atom_site_fract_x
_atom_site_fract_y
_atom_site_fract_z
Ni1 Ni 0.0615 0.6246 0.0085
Ni2 Ni 0.0909 0.0909 0.2806
Ni3 Ni 0.3754 0.9385 0.9915
Ni4 Ni 0.9091 0.9091 0.7194
Ir1 Ir 0.0925 0.5481 0.4968
Ir2 Ir 0.2850 0.3084 0.8539
Ir3 Ir 0.4519 0.9075 0.5032
Ir4 Ir 0.5662 0.4338 0.5000
Ir5 Ir 0.6916 0.7150 0.1461
Ir6 Ir 0.7449 0.2551 0.0000

[2]
# FeBr3, relaxed, DFT PBE-GGA
# calculated volume = 33.6 A^3/atom
# uncorrected formation energy = -0.34 eV per atom
# density of states at the Fermi level = 2.6 states/eV/cell
# SG = No. 44
# crystal system = orthorhombic
data_FeBr3
_chemical_formula_sum 'Fe2 Br6'
_cell_length_a 3.3168
_cell_length_b 11.5581
_cell_length_c 7.0216
_cell_angle_alpha 90.00
_cell_angle_beta 90.00
_cell_angle_gamma 90.00
_space_group_name_H-M_alt 'P 1'
_space_group_IT_number 1
loop_
_space_group_symop_operation_xyz
'x,y,z'
loop_
_atom_site_label
_atom_site_type_symbol
_atom_site_fract_x
_atom_site_fract_y
_atom_site_fract_z
Fe1 Fe 0.0000 0.0000 0.0000
Fe2 Fe 0.5000 0.5000 0.5000
Br1 Br 0.0000 0.3525 0.6401
Br2 Br 0.0000 0.5000 0.2195
Br3 Br 0.0000 0.6475 0.6401
Br4 Br 0.5000 0.0000 0.7195
Br5 Br 0.5000 0.1475 0.1401
Br6 Br 0.5000 0.8525 0.1401

[3]
# HfInCo3, relaxed, DFT PBE-GGA
# calculated volume = 18.7 A^3/atom
# offset from the most stable computed form = 0.00 eV/f.u.
# calculated formation energy = 1.13 eV/atom
# density of states at the Fermi level = 5.6 states/eV/cell
# SG = No. 221
# crystal system = cubic
data_HfInCo3
_chemical_formula_sum 'Hf1 In1 Co3'
_cell_length_a 4.5378
_cell_length_b 4.5378
_cell_length_c 4.5378
_cell_angle_alpha 90.00
_cell_angle_beta 90.00
_cell_angle_gamma 90.00
_space_group_name_H-M_alt 'P 1'
_space_group_IT_number 1
loop_
_space_group_symop_operation_xyz
'x,y,z'
loop_
_atom_site_label
_atom_site_type_symbol
_atom_site_fract_x
_atom_site_fract_y
_atom_site_fract_z
Hf1 Hf 0.0000 0.0000 0.0000
In1 In 0.5000 0.5000 0.5000
Co1 Co 0.0000 0.0000 0.5000
Co2 Co 0.0000 0.5000 0.0000
Co3 Co 0.5000 0.0000 0.0000

[4]
# Li2CrAu, relaxed, DFT PBE-GGA
# calculated volume = 15.0 A^3/atom
# offset from the most stable computed form = 0.90 eV/f.u.
# calculated formation energy = 0.20 eV/atom
# density of states at the Fermi level = 5.1 states/eV/cell
# SG = No. 65
# crystal system = orthorhombic
data_Li2CrAu
_chemical_formula_sum 'Li4 Cr2 Au2'
_cell_length_a 3.1890
_cell_length_b 4.2523
_cell_length_c 8.8657
_cell_angle_alpha 90.00
_cell_angle_beta 90.00
_cell_angle_gamma 90.00
_space_group_name_H-M_alt 'P 1'
_space_group_IT_number 1
loop_
_space_group_symop_operation_xyz
'x,y,z'
loop_
_atom_site_label
_atom_site_type_symbol
_atom_site_fract_x
_atom_site_fract_y
_atom_site_fract_z
Li1 Li 0.0000 0.0000 0.2461
Li2 Li 0.0000 0.0000 0.7539
Li3 Li 0.5000 0.5000 0.2461
Li4 Li 0.5000 0.5000 0.7539
Cr1 Cr 0.0000 0.5000 0.5000
Cr2 Cr 0.5000 0.0000 0.5000
Au1 Au 0.0000 0.5000 0.0000
Au2 Au 0.5000 0.0000 0.0000

Q: Which formula does entry 3 have?
A: HfInCo3

Q: Which value of density of states at the Fermi level does entry 1 give?
A: 14.1 states/eV/cell